[1]
# ReAgIr

Crystalline ReAgIr at its relaxed geometry (PBEsol, Alexandria via LeMat-Bulk).

Cell lengths 6.216, 6.216, 6.216 Å; angles 154.26, 154.26, 36.71 degrees
Positions (direct):
Re (0.000, 0.000, 0.000)
Ag (0.677, 0.677, 0.000)
Ir (0.356, 0.356, 0.000)

Computed properties:
ΔE to the lowest computed polymorph: 0 meV per atom
Symmetry: I4mm, No. 107
Energy relative to the elements: 0.22 eV/atom

=====

[2]
# BeSn3F

Crystalline BeSn3F at its relaxed geometry (PBEsol, Alexandria via LeMat-Bulk).

Cell lengths 4.784, 4.784, 4.784 Å; angles 90.00, 90.00, 90.00 degrees
Positions (direct):
Be (0.000, 0.000, 0.000)
Sn (0.000, 0.000, 0.500)
Sn (0.000, 0.500, 0.000)
Sn (0.500, 0.000, 0.000)
F (0.500, 0.500, 0.500)

Computed properties:
ΔE to the lowest computed polymorph: 0 meV per atom
Uncorrected formation energy: -23 meV per atom
Symmetry: Pm-3m, No. 221

=====

[3]
# CaFePt2

Crystalline CaFePt2 at its relaxed geometry (PBEsol, Alexandria via LeMat-Bulk).

Cell lengths 4.808, 4.808, 4.808 Å; angles 129.26, 129.05, 74.76 degrees
Positions (direct):
Ca (0.000, 0.000, 0.000)
Fe (0.500, 0.500, 0.000)
Pt (0.251, 0.751, 0.500)
Pt (0.749, 0.249, 0.500)

Computed properties:
Symmetry: Immm, No. 71
Energy relative to the elements: -0.20 eV/atom